Compound: LiTiSb2
Source: Alexandria
Functional: PBE
Structure: optimized geometry

* magnetic moment: 0.000 μB per formula unit
* formation energy without anion corrections: -0.35 eV/atom
* density of states at the Fermi level: 5.89 states/eV/cell
* ΔE to the lowest computed polymorph: 2 meV/atom

Lattice parameters (Å, degrees): 4.1591 4.1591 18.2615 90.00 90.00 120.00
Space group R3m (No. 160, hexagonal axes)
One atom of each set of equivalent atoms:
Li1 0.0000 0.0000 0.0000 (multiplicity 3)
Ti1 0.0000 0.0000 0.1729 (multiplicity 3)
Sb1 0.0000 0.0000 0.5858 (multiplicity 3)
Sb2 0.0000 0.0000 0.7583 (multiplicity 3)